The following is a GGA-PBE calculation of crystalline ZrAlP2 at its relaxed geometry, from Alexandria.

It has space group Imm2 (No. 44), with a = 3.4706 Å, b = 3.5123 Å, c = 11.5030 Å, α = 90.00°, β = 90.00° and γ = 90.00°. The inequivalent atoms are Zr at (0.0000, 0.0000, 0.0000), Al at (0.0000, 0.5000, 0.7641), P at (0.0000, 0.0000, 0.5859) and P at (0.0000, 0.5000, 0.3262).

The density of states at the Fermi level is 3.0 states/eV/cell. The calculation puts the energy of formation from the pure elements at -0.65 eV/atom.


The following is a GGA-PBE calculation of crystalline ZrAlP2 at its relaxed geometry, from Alexandria.

It has space group P2/m (No. 10), with a = 3.6708 Å, b = 3.6605 Å, c = 5.3863 Å, α = 90.00°, β = 90.19° and γ = 90.00°. The inequivalent atoms are Zr at (0.0000, 0.0000, 0.0000), Al at (0.5000, 0.5000, 0.5000), P at (0.0000, 0.0000, 0.5000) and P at (0.5000, 0.5000, 0.0000).

The density of states at the Fermi level is 0.9 states/eV/cell. The calculation puts the energy of formation from the pure elements at -0.74 eV/atom.


The following is a GGA-PBE calculation of crystalline ZrAlP2 at its relaxed geometry, from Alexandria.

It has space group C2/m (No. 12), with a = 9.3577 Å, b = 3.1620 Å, c = 5.0433 Å, α = 90.00°, β = 91.93° and γ = 90.00°. The inequivalent atoms are Zr at (0.0000, 0.0000, 0.0000), Al at (0.0000, 0.5000, 0.5000) and P at (0.2220, 0.5000, 0.8391).

The density of states at the Fermi level is 3.3 states/eV/cell. The calculation puts the energy of formation from the pure elements at -0.29 eV/atom.


The following is a GGA-PBE calculation of crystalline ZrAlP at its relaxed geometry, from Alexandria.

It has space group P-6m2 (No. 187), with a = 4.1646 Å, b = 4.1646 Å, c = 3.4506 Å, α = 90.00°, β = 90.00° and γ = 120.00°. The inequivalent atoms are Zr at (0.0000, 0.0000, 0.0000), Al at (0.3333, 0.6667, 0.5000) and P at (0.6667, 0.3333, 0.5000).

The density of states at the Fermi level is 2.7 states/eV/cell. The calculation puts the energy of formation from the pure elements at -0.37 eV/atom.